CsK2TlF6: optimized geometry, PBE.

Cell lengths 7.0030, 7.0030, 7.0030 Å; angles 60.00, 60.00, 60.00 degrees
With the nearest neighbours (Å) after each atom.
Fractional coordinates of all 10 atoms:
F 0.2213 0.2213 0.7787  1 Tl 2.19
F 0.2213 0.7787 0.7787  1 Tl 2.19
F 0.7787 0.2213 0.7787  1 Tl 2.19
F 0.7787 0.7787 0.2213  1 Tl 2.19
F 0.7787 0.2213 0.2213  1 Tl 2.19
F 0.2213 0.7787 0.2213  1 Tl 2.19
K 0.7500 0.7500 0.7500  12 F 3.51
K 0.2500 0.2500 0.2500  12 F 3.51
Tl 0.0000 0.0000 0.0000  6 F 2.19
Cs 0.5000 0.5000 0.5000  6 F 2.76

Summary:
Density in g cm⁻³: 3.62
Uncorrected energy in eV/atom: -4.005
Spin magnetization in μB per atom: 0.000
Energy above the lowest structure with this stoichiometry in meV/atom: 114
SG: Fm-3m
DOS at the Fermi energy in states/eV per cell: 0.000